# 1
## Mn2SiW (PBE)

Data for crystalline Mn2SiW at its relaxed geometry.

Symmetry ... F-43m, No. 216
DFT total energy ... -9.211 eV/atom
Formation energy without anion corrections ... -0.032 eV/atom
Volume ... 12.747 Å³ per atom
Total magnetization ... 0.37 μB/atom

Cell lengths 4.1622, 4.1622, 4.1622 Å; angles 60.00, 60.00, 60.00 degrees
Positions (direct):
Mn  0.0000  0.0000  0.0000
Mn  0.2500  0.2500  0.2500
Si  0.7500  0.7500  0.7500
W  0.5000  0.5000  0.5000

---

# 2
## AcCdAg (PBE)

Data for crystalline AcCdAg at its relaxed geometry.

Symmetry ... C2/m, No. 12
Energy relative to the elements ... -0.319 eV per atom
DFT total energy ... -2.944 eV/atom
Volume ... 28.071 Å³ per atom
Total magnetization ... 0.00 μB/atom

Cell lengths 6.2020, 6.2020, 7.7206 Å; angles 125.88, 125.88, 47.61 degrees
Positions (direct):
Ac  0.0385  0.0385  0.2905
Ac  0.9615  0.9615  0.7095
Cd  0.3300  0.3300  0.8839
Cd  0.6700  0.6700  0.1161
Ag  0.3380  0.3380  0.3008
Ag  0.6620  0.6620  0.6992

---

# 3
## Lu3HfO (PBE)

Data for crystalline Lu3HfO at its relaxed geometry.

Symmetry ... Pm-3m, No. 221
DFT total energy ... -6.760 eV/atom
Formation energy without anion corrections ... -1.065 eV/atom
Volume ... 20.958 Å³ per atom
Total magnetization ... 0.00 μB/atom

Cell lengths 4.7145, 4.7145, 4.7145 Å; angles 90.00, 90.00, 90.00 degrees
Positions (direct):
Lu  0.0000  0.0000  0.5000
Lu  0.0000  0.5000  0.0000
Lu  0.5000  0.0000  0.0000
Hf  0.5000  0.5000  0.5000
O  0.0000  0.0000  0.0000

---

# 4
## Li2Ag2Sb3 (PBE)

Data for crystalline Li2Ag2Sb3 at its relaxed geometry.

Symmetry ... P-1, No. 2
DFT total energy ... -3.307 eV/atom
Formation energy without anion corrections ... -0.179 eV/atom
Volume ... 23.932 Å³ per atom
Total magnetization ... 0.00 μB/atom

Cell lengths 4.2217, 5.0674, 8.5790 Å; angles 84.52, 89.65, 66.56 degrees
Positions (direct):
Li  0.1126  0.2688  0.2180
Li  0.8874  0.7312  0.7820
Ag  0.1906  0.1215  0.8870
Ag  0.8094  0.8785  0.1130
Sb  0.1634  0.1808  0.5578
Sb  0.5000  0.5000  0.0000
Sb  0.8366  0.8192  0.4422

---

Look up the total magnetization of the first one. 0.37 μB/atom

---

Which of these has the highest DFT total energy? AcCdAg

---

The highest DFT total energy belongs to which entry? AcCdAg